{"formula": "TmCd2Pd8", "functional": "PBE", "state": "optimized geometry", "volume_a3_per_atom": 17.9, "n_ef_per_ev_atom": 0.63, "dft_energy_ev_per_atom": -4.628, "magmom_total_mub_per_cell": 0.00, "e_form_ev_per_atom": -0.28, "cell": [[4.3724, 0.2456, -0.1611], [-0.4417, 6.4583, -2.2029], [0.2318, 0.3877, 6.8230]], "species": ["Cd", "Cd", "Pd", "Pd", "Pd", "Pd", "Pd", "Pd", "Pd", "Pd", "Tm"], "frac_coords": [[0.0000, 0.6260, 0.3740], [0.0000, 0.3740, 0.6260], [0.5000, 0.3330, 0.3330], [0.9999, 0.3036, 0.0367], [0.5000, 0.2442, 0.7558], [0.0001, 0.9633, 0.6964], [0.0001, 0.6964, 0.9633], [0.5000, 0.7558, 0.2442], [0.9999, 0.0367, 0.3036], [0.5000, 0.6670, 0.6670], [0.5000, 0.0000, 0.0000]]}


{"formula": "CaBH2O4", "functional": "PBE", "state": "optimized geometry", "volume_a3_per_atom": 8.5, "n_ef_per_ev_atom": 0.33, "dft_energy_ev_per_atom": -6.109, "magmom_total_mub_per_cell": 1.02, "cell": [[3.9685, 0.0000, 0.0000], [1.9843, 4.1482, 0.0507], [1.9843, 0.3905, 4.1301]], "species": ["O", "O", "O", "O", "H", "H", "B", "Ca"], "frac_coords": [[0.5989, 0.5153, 0.7720], [0.4011, 0.2280, 0.4847], [0.1137, 0.7720, 0.5153], [0.8863, 0.4847, 0.2280], [0.1531, 0.3469, 0.3469], [0.8469, 0.6531, 0.6531], [0.5000, 0.5000, 0.5000], [0.0000, 0.0000, 0.0000]]}


{"formula": "MgFeNi2", "functional": "PBE", "state": "optimized geometry", "volume_a3_per_atom": 13.9, "n_ef_per_ev_atom": 1.21, "dft_energy_ev_per_atom": -4.956, "magmom_total_mub_per_cell": 6.78, "e_form_ev_per_atom": 0.45, "cell": [[3.6516, 0.0000, 0.0000], [0.0000, 3.6516, 0.0000], [1.8258, 1.8258, 8.3566]], "species": ["Ni", "Ni", "Ni", "Ni", "Mg", "Mg", "Fe", "Fe"], "frac_coords": [[0.6466, 0.1250, 0.2500], [0.8750, 0.8966, 0.7500], [0.1034, 0.6250, 0.2500], [0.3750, 0.3534, 0.7500], [0.5000, 0.5000, 0.0000], [0.2500, 0.7500, 0.5000], [0.7500, 0.2500, 0.5000], [0.0000, 0.0000, 0.0000]]}


{"formula": "Er6Tl5Zn", "functional": "PBE", "state": "optimized geometry", "volume_a3_per_atom": 26.0, "n_ef_per_ev_atom": 0.72, "dft_energy_ev_per_atom": -3.687, "magmom_total_mub_per_cell": 0.00, "e_form_ev_per_atom": -0.31, "cell": [[5.0288, -0.0299, 1.6759], [0.0395, 7.3933, 0.0132], [-0.0001, -0.0150, 8.3833]], "species": ["Er", "Er", "Er", "Er", "Er", "Er", "Tl", "Tl", "Tl", "Tl", "Tl", "Zn"], "frac_coords": [[0.1626, 0.7553, 0.6748], [0.8374, 0.7553, 0.3252], [0.5000, 0.7575, 0.0000], [0.1626, 0.2447, 0.6748], [0.8374, 0.2447, 0.3252], [0.5000, 0.2425, 0.0000], [0.3314, 0.5000, 0.3373], [0.3346, 0.0000, 0.3308], [0.6654, 0.0000, 0.6692], [0.0000, 0.5000, 0.0000], [0.6686, 0.5000, 0.6627], [0.0000, 0.0000, 0.0000]]}


Repeat the fourth record exactly.
{"formula": "Er6Tl5Zn", "functional": "PBE", "state": "optimized geometry", "volume_a3_per_atom": 26.0, "n_ef_per_ev_atom": 0.72, "dft_energy_ev_per_atom": -3.687, "magmom_total_mub_per_cell": 0.00, "e_form_ev_per_atom": -0.31, "cell": [[5.0288, -0.0299, 1.6759], [0.0395, 7.3933, 0.0132], [-0.0001, -0.0150, 8.3833]], "species": ["Er", "Er", "Er", "Er", "Er", "Er", "Tl", "Tl", "Tl", "Tl", "Tl", "Zn"], "frac_coords": [[0.1626, 0.7553, 0.6748], [0.8374, 0.7553, 0.3252], [0.5000, 0.7575, 0.0000], [0.1626, 0.2447, 0.6748], [0.8374, 0.2447, 0.3252], [0.5000, 0.2425, 0.0000], [0.3314, 0.5000, 0.3373], [0.3346, 0.0000, 0.3308], [0.6654, 0.0000, 0.6692], [0.0000, 0.5000, 0.0000], [0.6686, 0.5000, 0.6627], [0.0000, 0.0000, 0.0000]]}